Entry from Alexandria: a relaxed BaZnNiF6 crystal (PBE+U).

Geometry as POSCAR:
```
BaZnNiF6
1.0
-5.873 2.068 -3.618
-1.455 -6.879 -1.569
0.902 2.018 6.855
F Ni Zn Ba
12 2 2 2
Direct
0.161 0.902 0.746 F
0.850 0.100 0.700 F
0.839 0.656 0.254 F
0.839 0.098 0.254 F
0.417 0.667 0.833 F
0.585 0.902 0.746 F
0.585 0.344 0.746 F
0.415 0.098 0.254 F
0.161 0.344 0.746 F
0.150 0.900 0.300 F
0.415 0.656 0.254 F
0.583 0.333 0.167 F
0.500 0.000 0.000 Ni
0.500 0.500 0.000 Ni
0.500 0.000 0.500 Zn
0.000 0.000 0.500 Zn
0.870 0.620 0.740 Ba
0.130 0.380 0.260 Ba
```

Output
- uncorrected energy (eV per formula unit) = -41.130
- space group = Imma, No. 74
- total magnetic moment (μB/atom) = 0.22